Cs3Pa3Te8Pd after structural relaxation. Source: the Alexandria database, functional PBE.

Calculated values
calculated density = 5969 kg/m³
uncorrected formation energy = -819 meV per atom
crystal system = monoclinic

Unit cell a=15.2586 b=8.8108 c=10.4990 alpha=90.00 beta=118.98 gamma=90.00
With the nearest neighbours (Å) after each atom.
Space group C2/m (No. 12)
Asymmetric unit:
1 Cs 0.0000 0.0000 0.0000 (multiplicity 2)  6 Te 3.77-3.86
2 Cs 0.2500 0.2500 0.0000 (multiplicity 4)  6 Te 3.77-3.86
3 Pa 0.0000 0.5000 0.5000 (multiplicity 2)  6 Te 3.06-3.12
4 Pa 0.2500 0.2500 0.5000 (multiplicity 4)  6 Te 3.06-3.12
5 Te 0.0212 0.2456 0.3178 (multiplicity 8)  1 Pd 3.01, 2 Pa 3.06
6 Te 0.2234 0.0000 0.6808 (multiplicity 4)  1 Pd 2.99, 2 Pa 3.06
7 Te 0.2322 0.5000 0.6965 (multiplicity 4)  3 Pa 3.12
8 Pd 0.0000 0.0000 0.5000 (multiplicity 2)  6 Te 2.99-3.01

Cs2Pm2PaS6 after structural relaxation. Source: the Alexandria database, functional PBE.

Calculated values
calculated density = 4432 kg/m³
uncorrected formation energy = -1795 meV per atom
crystal system = monoclinic

Unit cell a=7.1764 b=12.3754 c=8.6172 alpha=90.00 beta=106.49 gamma=90.00
With the nearest neighbours (Å) after each atom.
Space group C2/m (No. 12)
Asymmetric unit:
1 Cs 0.0000 0.1692 0.0000 (multiplicity 4)  6 S 3.54-3.59
2 Pm 0.0000 0.3338 0.5000 (multiplicity 4)  6 S 2.84-2.85
3 Pa 0.0000 0.0000 0.5000 (multiplicity 2)  6 S 2.73-2.74
4 S 0.2213 0.1616 0.6792 (multiplicity 8)  1 Pa 2.74, 2 Pm 2.84-2.85
5 S 0.2416 0.5000 0.6790 (multiplicity 4)  1 Pa 2.73, 2 Pm 2.85

Cs3Pm3PaS8 after structural relaxation. Source: the Alexandria database, functional PBE.

Calculated values
calculated density = 4441 kg/m³
uncorrected formation energy = -1799 meV per atom
crystal system = trigonal

Unit cell a=8.3306 b=8.3306 c=24.6621 alpha=90.00 beta=90.00 gamma=120.00
With the nearest neighbours (Å) after each atom.
Space group R-3m (No. 166, hexagonal axes)
Asymmetric unit:
1 Cs 0.0000 0.5000 0.0000 (multiplicity 9)  6 S 3.54-3.55
2 Pm 0.0000 0.5000 0.5000 (multiplicity 9)  6 S 2.84-2.85
3 Pa 0.0000 0.0000 0.5000 (multiplicity 3)  6 S 2.75
4 S 0.0000 0.0000 0.2280 (multiplicity 6)  3 Pm 2.84
5 S 0.0114 0.5057 0.2261 (multiplicity 18)  1 Pa 2.75, 2 Pm 2.85

Cs4Pm3PaS8 after structural relaxation. Source: the Alexandria database, functional PBE.

Calculated values
calculated density = 4904 kg/m³
uncorrected formation energy = -1711 meV per atom
crystal system = trigonal

Unit cell a=8.3779 b=8.3779 c=24.3011 alpha=90.00 beta=90.00 gamma=120.00
With the nearest neighbours (Å) after each atom.
Space group R-3m (No. 166, hexagonal axes)
Asymmetric unit:
1 Cs 0.0000 0.0000 0.0000 (multiplicity 3)  6 S 3.56
2 Cs 0.0000 0.5000 0.0000 (multiplicity 9)  6 S 3.50
3 Pm 0.0000 0.5000 0.5000 (multiplicity 9)  6 S 2.85-2.87
4 Pa 0.0000 0.0000 0.5000 (multiplicity 3)  6 S 2.79
5 S 0.0000 0.0000 0.2290 (multiplicity 6)  3 Pm 2.85
6 S 0.0090 0.5045 0.2282 (multiplicity 18)  1 Pa 2.79, 2 Pm 2.87

CsPm2PaS5 after structural relaxation. Source: the Alexandria database, functional PBE.

Calculated values
calculated density = 5269 kg/m³
uncorrected formation energy = -1730 meV per atom
crystal system = orthorhombic

Unit cell a=5.0996 b=7.3568 c=13.6801 alpha=90.00 beta=90.00 gamma=90.00
With the nearest neighbours (Å) after each atom.
Space group Immm (No. 71)
Asymmetric unit:
1 Cs 0.0000 0.0000 0.0000 (multiplicity 2)  10 S 3.68-3.83
2 Pm 0.0000 0.5000 0.2046 (multiplicity 4)  3 S 2.78-2.80
3 Pa 0.0000 0.0000 0.5000 (multiplicity 2)  6 S 2.55-2.69
4 S 0.0000 0.2327 0.3480 (multiplicity 8)  1 Pa 2.69, 1 Pm 2.78
5 S 0.0000 0.5000 0.0000 (multiplicity 2)  2 Pa 2.55, 2 Pm 2.80

Cs2Pm2PaSe6 after structural relaxation. Source: the Alexandria database, functional PBE.

Calculated values
calculated density = 5112 kg/m³
uncorrected formation energy = -1662 meV per atom
crystal system = monoclinic

Unit cell a=7.4308 b=12.8230 c=8.9617 alpha=90.00 beta=106.44 gamma=90.00
With the nearest neighbours (Å) after each atom.
Space group C2/m (No. 12)
Asymmetric unit:
1 Cs 0.0000 0.1692 0.0000 (multiplicity 4)  6 Se 3.65-3.69
2 Pm 0.0000 0.3334 0.5000 (multiplicity 4)  6 Se 2.97
3 Pa 0.0000 0.0000 0.5000 (multiplicity 2)  6 Se 2.87-2.88
4 Se 0.2248 0.1619 0.6847 (multiplicity 8)  1 Pa 2.88, 2 Pm 2.97
5 Se 0.2403 0.5000 0.6841 (multiplicity 4)  1 Pa 2.87, 2 Pm 2.97

Cs3Pm2PaSe6 after structural relaxation. Source: the Alexandria database, functional PBE.

Calculated values
calculated density = 5642 kg/m³
uncorrected formation energy = -1573 meV per atom
crystal system = monoclinic

Unit cell a=7.4977 b=12.9852 c=8.7873 alpha=90.00 beta=106.50 gamma=90.00
With the nearest neighbours (Å) after each atom.
Space group C2/m (No. 12)
Asymmetric unit:
1 Cs 0.0000 0.0000 0.0000 (multiplicity 2)  6 Se 3.60-3.66
2 Cs 0.0000 0.3307 0.0000 (multiplicity 4)  6 Se 3.60-3.64
3 Pm 0.0000 0.1664 0.5000 (multiplicity 4)  6 Se 2.99-3.00
4 Pa 0.0000 0.5000 0.5000 (multiplicity 2)  6 Se 2.91-2.92
5 Se 0.2255 0.3375 0.6895 (multiplicity 8)  1 Pa 2.91, 2 Pm 2.99
6 Se 0.2388 0.0000 0.6905 (multiplicity 4)  1 Pa 2.92, 2 Pm 3.00

Cs3PmPa3Te8 after structural relaxation. Source: the Alexandria database, functional PBE.

Calculated values
calculated density = 5914 kg/m³
uncorrected formation energy = -1040 meV per atom
crystal system = trigonal

Unit cell a=8.9028 b=8.9028 c=27.7046 alpha=90.00 beta=90.00 gamma=120.00
With the nearest neighbours (Å) after each atom.
Space group R-3m (No. 166, hexagonal axes)
Asymmetric unit:
1 Cs 0.0000 0.5000 0.0000 (multiplicity 9)  6 Te 3.81-3.83
2 Pm 0.0000 0.0000 0.5000 (multiplicity 3)  6 Te 3.19
3 Pa 0.0000 0.5000 0.5000 (multiplicity 9)  6 Te 3.11-3.14
4 Te 0.0000 0.0000 0.2317 (multiplicity 6)  3 Pa 3.14
5 Te 0.0078 0.5039 0.7684 (multiplicity 18)  2 Pa 3.11, 1 Pm 3.19

Cs4Pm3PaTe8 after structural relaxation. Source: the Alexandria database, functional PBE.

Calculated values
calculated density = 5566 kg/m³
uncorrected formation energy = -1277 meV per atom
crystal system = trigonal

Unit cell a=9.2222 b=9.2222 c=26.9594 alpha=90.00 beta=90.00 gamma=120.00
With the nearest neighbours (Å) after each atom.
Space group R-3m (No. 166, hexagonal axes)
Asymmetric unit:
1 Cs 0.0000 0.0000 0.0000 (multiplicity 3)  6 Te 3.85
2 Cs 0.0000 0.5000 0.0000 (multiplicity 9)  6 Te 3.81-3.82
3 Pm 0.0000 0.5000 0.5000 (multiplicity 9)  6 Te 3.19-3.20
4 Pa 0.0000 0.0000 0.5000 (multiplicity 3)  6 Te 3.15
5 Te 0.0000 0.0000 0.2317 (multiplicity 6)  3 Pm 3.19
6 Te 0.0048 0.5024 0.2315 (multiplicity 18)  1 Pa 3.15, 2 Pm 3.20

Cs3Pm3PaTe8 after structural relaxation. Source: the Alexandria database, functional PBE.

Calculated values
calculated density = 5231 kg/m³
uncorrected formation energy = -1302 meV per atom
crystal system = trigonal

Unit cell a=9.1555 b=9.1555 c=27.3577 alpha=90.00 beta=90.00 gamma=120.00
With the nearest neighbours (Å) after each atom.
Space group R-3m (No. 166, hexagonal axes)
Asymmetric unit:
1 Cs 0.0000 0.5000 0.0000 (multiplicity 9)  6 Te 3.85
2 Pm 0.0000 0.5000 0.5000 (multiplicity 9)  6 Te 3.18
3 Pa 0.0000 0.0000 0.5000 (multiplicity 3)  6 Te 3.12
4 Te 0.0000 0.0000 0.2312 (multiplicity 6)  3 Pm 3.18
5 Te 0.0060 0.5030 0.2300 (multiplicity 18)  1 Pa 3.12, 2 Pm 3.18

Cs4Pr3PaS8 after structural relaxation. Source: the Alexandria database, functional PBE.

Calculated values
calculated density = 4747 kg/m³
uncorrected formation energy = -1701 meV per atom
crystal system = trigonal

Unit cell a=8.4743 b=8.4743 c=24.3318 alpha=90.00 beta=90.00 gamma=120.00
With the nearest neighbours (Å) after each atom.
Space group R-3m (No. 166, hexagonal axes)
Asymmetric unit:
1 Cs 0.0000 0.0000 0.0000 (multiplicity 3)  6 S 3.60
2 Cs 0.0000 0.5000 0.0000 (multiplicity 9)  6 S 3.50-3.51
3 Pr 0.0000 0.5000 0.5000 (multiplicity 9)  6 S 2.89-2.92
4 Pa 0.0000 0.0000 0.5000 (multiplicity 3)  6 S 2.79
5 S 0.0000 0.0000 0.2301 (multiplicity 6)  3 Pr 2.89
6 S 0.0130 0.5065 0.2286 (multiplicity 18)  1 Pa 2.79, 2 Pr 2.92

Cs4PrPa3S12 after structural relaxation. Source: the Alexandria database, functional PBE.

Calculated values
calculated density = 4655 kg/m³
uncorrected formation energy = -1485 meV per atom
crystal system = cubic

Unit cell a=10.7686 b=10.7686 c=10.7686 alpha=90.00 beta=90.00 gamma=90.00
With the nearest neighbours (Å) after each atom.
Space group Im-3m (No. 229)
Asymmetric unit:
1 Cs 0.2500 0.2500 0.2500 (multiplicity 8)  12 S 3.81
2 Pr 0.0000 0.0000 0.0000 (multiplicity 2)  6 S 2.82
3 Pa 0.0000 0.0000 0.5000 (multiplicity 6)  6 S 2.56-2.69
4 S 0.0000 0.0000 0.2620 (multiplicity 12)  1 Pa 2.56, 1 Pr 2.82
5 S 0.0000 0.2500 0.5000 (multiplicity 12)  2 Pa 2.69